Record 1
A plane-wave DFT calculation with GGA-PBE was carried out for an optimized crystal structure of DyMgSc3.

Cell lengths 7.968, 7.968, 6.574 Å; angles 90.00, 90.00, 140.94 degrees
Sites, in units of the cell vectors:
Dy 0.115 0.885 0.750
Dy 0.885 0.115 0.250
Mg 0.494 0.506 0.750
Mg 0.506 0.494 0.250
Sc 0.128 0.872 0.250
Sc 0.309 0.691 0.501
Sc 0.309 0.691 0.999
Sc 0.691 0.309 0.001
Sc 0.691 0.309 0.499
Sc 0.872 0.128 0.750

***

Record 2
A plane-wave DFT calculation with GGA-PBE was carried out for an optimized crystal structure of AgOs3.

Cell lengths 5.479, 5.479, 4.337 Å; angles 90.00, 90.00, 109.72 degrees
Sites, in units of the cell vectors:
Ag 0.119 0.881 0.750
Ag 0.881 0.119 0.250
Os 0.187 0.395 0.750
Os 0.308 0.692 0.250
Os 0.395 0.187 0.250
Os 0.605 0.813 0.750
Os 0.692 0.308 0.750
Os 0.813 0.605 0.250

***

Record 3
A plane-wave DFT calculation with GGA-PBE was carried out for an optimized crystal structure of Pr3Re2C4.

Cell lengths 7.377, 7.377, 5.796 Å; angles 91.21, 91.21, 74.22 degrees
Sites, in units of the cell vectors:
Pr 0.093 0.907 0.750
Pr 0.249 0.517 0.461
Pr 0.483 0.751 0.039
Pr 0.517 0.249 0.961
Pr 0.751 0.483 0.539
Pr 0.907 0.093 0.250
Re 0.086 0.328 0.908
Re 0.328 0.086 0.408
Re 0.672 0.914 0.592
Re 0.914 0.672 0.092
C 0.099 0.236 0.582
C 0.192 0.553 0.980
C 0.236 0.099 0.082
C 0.447 0.808 0.520
C 0.553 0.192 0.480
C 0.764 0.901 0.918
C 0.808 0.447 0.020
C 0.901 0.764 0.418

***

Record 4
A plane-wave DFT calculation with GGA-PBE was carried out for an optimized crystal structure of CaFe2Rh2.

Cell lengths 5.573, 5.573, 5.573 Å; angles 134.88, 134.88, 65.71 degrees
Sites, in units of the cell vectors:
Ca 0.000 0.000 0.000
Fe 0.380 0.380 0.000
Fe 0.620 0.620 0.000
Rh 0.250 0.750 0.500
Rh 0.750 0.250 0.500

***

Number 1: total magnetic moment 0.00 μB per formula unit, total DFT energy (no corrections) -24.89 eV per formula unit, energy relative to the elements 5.8 kJ/mol of atoms. Number 2: total magnetic moment 0.00 μB per formula unit, total DFT energy (no corrections) -33.54 eV per formula unit, energy relative to the elements 72.4 kJ/mol of atoms. Number 3: total magnetic moment 0.00 μB per formula unit, total DFT energy (no corrections) -76.31 eV per formula unit, energy relative to the elements -1.9 kJ/mol of atoms. Number 4: total magnetic moment 6.15 μB per formula unit, total DFT energy (no corrections) -33.60 eV per formula unit, energy relative to the elements 0.5 kJ/mol of atoms.